1.
Density functional theory data (GGA-PBE) for a relaxed Cr3Si crystal.

Cell: 4.678 4.678 4.678 Å, 116.83 116.83 116.83°
Fractional positions:
Cr: 0.000 0.500 0.500
Cr: 0.500 0.000 0.500
Cr: 0.500 0.500 0.000
Si: 0.000 0.000 0.000

Computed properties:
Offset from the most stable computed form: 270 meV per atom
Magnetic moment: 0.0 μB/f.u.
DOS(E_F): 3.9 states/eV/cell
Formation energy without anion corrections: -0.091 eV/atom
Raw total energy: -34.66 eV/cell

=====

2.
Density functional theory data (GGA-PBE) for a relaxed CrSi2 crystal.

Cell: 6.016 6.016 6.016 Å, 155.17 155.17 35.40°
Fractional positions:
Cr: 0.000 0.000 0.000
Si: 0.346 0.346 0.000
Si: 0.654 0.654 0.000

Computed properties:
Magnetic moment: 0.9 μB/f.u.
DOS(E_F): 2.6 states/eV/cell
Formation energy without anion corrections: 0.147 eV/atom
Raw total energy: -20.03 eV/cell

=====

3.
Density functional theory data (GGA-PBE) for a relaxed CrSi3 crystal.

Cell: 2.716 2.716 7.183 Å, 90.00 90.00 94.55°
Fractional positions:
Cr: 0.000 0.000 0.000
Si: 0.000 0.000 0.500
Si: 0.500 0.500 0.227
Si: 0.500 0.500 0.773

Computed properties:
Magnetic moment: 1.4 μB/f.u.
DOS(E_F): 2.3 states/eV/cell
Formation energy without anion corrections: 0.191 eV/atom
Raw total energy: -25.13 eV/cell

=====

4.
Density functional theory data (GGA-PBE) for a relaxed CrSi2 crystal.

Cell: 4.017 4.017 4.017 Å, 60.00 60.00 60.00°
Fractional positions:
Cr: 0.000 0.000 0.000
Si: 0.250 0.250 0.250
Si: 0.750 0.750 0.750

Computed properties:
Magnetic moment: 2.8 μB/f.u.
DOS(E_F): 1.7 states/eV/cell
Formation energy without anion corrections: 0.164 eV/atom
Raw total energy: -19.98 eV/cell

=====

5.
Density functional theory data (GGA-PBE) for a relaxed Cr2Si3 crystal.

Cell: 7.897 7.112 4.684 Å, 81.24 62.87 35.89°
Fractional positions:
Cr: 0.063 0.063 0.687
Cr: 0.313 0.313 0.937
Cr: 0.687 0.687 0.063
Cr: 0.937 0.937 0.313
Si: 0.125 0.125 0.125
Si: 0.255 0.255 0.495
Si: 0.495 0.495 0.255
Si: 0.505 0.505 0.745
Si: 0.745 0.745 0.505
Si: 0.875 0.875 0.875

Computed properties:
Magnetic moment: 0.0 μB/f.u.
DOS(E_F): 5.8 states/eV/cell
Formation energy without anion corrections: -0.121 eV/atom
Raw total energy: -72.25 eV/cell

=====

6.
Density functional theory data (GGA-PBE) for a relaxed Cr4Si crystal.

Cell: 4.380 4.380 4.380 Å, 90.00 90.00 90.00°
Fractional positions:
Cr: 0.000 0.000 0.000
Cr: 0.000 0.500 0.500
Cr: 0.500 0.000 0.500
Cr: 0.500 0.500 0.000
Si: 0.500 0.500 0.500

Computed properties:
Offset from the most stable computed form: 390 meV per atom
Magnetic moment: 3.8 μB/f.u.
DOS(E_F): 6.7 states/eV/cell
Formation energy without anion corrections: 1.003 eV/atom
Raw total energy: -38.90 eV/cell

=====

7.
Density functional theory data (GGA-PBE) for a relaxed Cr3Si4 crystal.

Cell: 9.223 9.223 9.223 Å, 161.00 161.00 27.00°
Fractional positions:
Cr: 0.000 0.000 0.000
Cr: 0.291 0.291 0.000
Cr: 0.709 0.709 0.000
Si: 0.145 0.145 0.000
Si: 0.431 0.431 0.000
Si: 0.569 0.569 0.000
Si: 0.855 0.855 0.000

Computed properties:
Magnetic moment: 0.0 μB/f.u.
DOS(E_F): 3.2 states/eV/cell
Formation energy without anion corrections: -0.327 eV/atom
Raw total energy: -52.85 eV/cell

=====

8.
Density functional theory data (GGA-PBE) for a relaxed Cr3Si crystal.

Cell: 4.515 4.515 4.515 Å, 90.00 90.00 90.00°
Fractional positions:
Cr: 0.000 0.250 0.500
Cr: 0.000 0.750 0.500
Cr: 0.250 0.500 0.000
Cr: 0.500 0.000 0.250
Cr: 0.500 0.000 0.750
Cr: 0.750 0.500 0.000
Si: 0.000 0.000 0.000
Si: 0.500 0.500 0.500

Computed properties:
Offset from the most stable computed form: 0 meV per atom
Magnetic moment: 0.0 μB/f.u.
DOS(E_F): 4.8 states/eV/cell
Formation energy without anion corrections: -0.361 eV/atom
Raw total energy: -71.48 eV/cell